Entry 1:
# MgTe2PbN (PBE, relaxed)
# * ΔE_f (raw): 0.375 eV per atom
data_MgTe2PbN
_cell_length_a 5.867
_cell_length_b 5.867
_cell_length_c 3.953
_cell_angle_alpha 90.00
_cell_angle_beta 90.00
_cell_angle_gamma 90.00
_space_group_name_H-M_alt 'P 4/m m m'
_space_group_IT_number 123
_space_group_name_Hall '-P 4 2'
loop_
_atom_site_label
_atom_site_type_symbol
_atom_site_fract_x
_atom_site_fract_y
_atom_site_fract_z
_atom_site_occupancy
Mg1 Mg 0.000 0.000 0.000 1
Te1 Te 0.000 0.500 0.000 1
Pb1 Pb 0.500 0.500 0.500 1
N1 N 0.000 0.000 0.500 1

Entry 2:
# MgTePbN2 (PBE, relaxed)
# * ΔE_f (raw): 1.303 eV per atom
data_MgTePbN2
_cell_length_a 4.472
_cell_length_b 4.472
_cell_length_c 6.452
_cell_angle_alpha 90.00
_cell_angle_beta 90.00
_cell_angle_gamma 90.00
_space_group_name_H-M_alt 'P 4/m m m'
_space_group_IT_number 123
_space_group_name_Hall '-P 4 2'
loop_
_atom_site_label
_atom_site_type_symbol
_atom_site_fract_x
_atom_site_fract_y
_atom_site_fract_z
_atom_site_occupancy
Mg1 Mg 0.000 0.000 0.000 1
Te1 Te 0.500 0.500 0.000 1
Pb1 Pb 0.500 0.500 0.500 1
N1 N 0.000 0.500 0.500 1

Entry 3:
# MgTe2PbN (PBE, relaxed)
# * ΔE_f (raw): 0.836 eV per atom
data_MgTe2PbN
_cell_length_a 5.951
_cell_length_b 5.951
_cell_length_c 4.268
_cell_angle_alpha 90.00
_cell_angle_beta 90.00
_cell_angle_gamma 90.00
_space_group_name_H-M_alt 'P 4/m m m'
_space_group_IT_number 123
_space_group_name_Hall '-P 4 2'
loop_
_atom_site_label
_atom_site_type_symbol
_atom_site_fract_x
_atom_site_fract_y
_atom_site_fract_z
_atom_site_occupancy
Mg1 Mg 0.000 0.000 0.000 1
Te1 Te 0.000 0.500 0.500 1
Pb1 Pb 0.500 0.500 0.500 1
N1 N 0.500 0.500 0.000 1

Entry 4:
# ThMgPbN (PBE, relaxed)
# * ΔE_f (raw): -0.867 eV per atom
data_ThMgPbN
_cell_length_a 4.208
_cell_length_b 4.208
_cell_length_c 10.869
_cell_angle_alpha 90.00
_cell_angle_beta 90.00
_cell_angle_gamma 90.00
_space_group_name_H-M_alt 'P 4/n m m'
_space_group_IT_number 129
loop_
_space_group_symop_operation_xyz
'x,y,z'
'-x,-y,-z'
'-y+1/2,x,z'
'y+1/2,-x,-z'
'-x+1/2,-y+1/2,z'
'x+1/2,y+1/2,-z'
'y,-x+1/2,z'
'-y,x+1/2,-z'
'x+1/2,-y,-z'
'-x+1/2,y,z'
'-y,-x,-z'
'y,x,z'
'-x,y+1/2,-z'
'x,-y+1/2,z'
'y+1/2,x+1/2,-z'
'-y+1/2,-x+1/2,z'
loop_
_atom_site_label
_atom_site_type_symbol
_atom_site_fract_x
_atom_site_fract_y
_atom_site_fract_z
_atom_site_occupancy
Th1 Th 0.250 0.250 0.101 1
Mg1 Mg 0.250 0.750 0.500 1
Pb1 Pb 0.250 0.250 0.700 1
N1 N 0.250 0.750 0.000 1

Entry 5:
# MgTlPbN2 (PBE, relaxed)
# * ΔE_f (raw): 1.484 eV per atom
data_MgTlPbN2
_cell_length_a 4.473
_cell_length_b 4.473
_cell_length_c 5.796
_cell_angle_alpha 90.00
_cell_angle_beta 90.00
_cell_angle_gamma 90.00
_space_group_name_H-M_alt 'P 4/m m m'
_space_group_IT_number 123
_space_group_name_Hall '-P 4 2'
loop_
_atom_site_label
_atom_site_type_symbol
_atom_site_fract_x
_atom_site_fract_y
_atom_site_fract_z
_atom_site_occupancy
Mg1 Mg 0.000 0.000 0.000 1
Tl1 Tl 0.500 0.500 0.000 1
Pb1 Pb 0.000 0.000 0.500 1
N1 N 0.000 0.500 0.500 1

Entry 6:
# Mg2PbWN (PBE, relaxed)
# * ΔE_f (raw): 2.297 eV per atom
data_Mg2PbWN
_cell_length_a 5.384
_cell_length_b 5.384
_cell_length_c 5.405
_cell_angle_alpha 90.00
_cell_angle_beta 90.00
_cell_angle_gamma 90.00
_space_group_name_H-M_alt 'P 4/m m m'
_space_group_IT_number 123
_space_group_name_Hall '-P 4 2'
loop_
_atom_site_label
_atom_site_type_symbol
_atom_site_fract_x
_atom_site_fract_y
_atom_site_fract_z
_atom_site_occupancy
Mg1 Mg 0.000 0.500 0.000 1
Pb1 Pb 0.000 0.000 0.000 1
W1 W 0.000 0.000 0.500 1
N1 N 0.500 0.500 0.500 1

Entry 7:
# MgPbWN2 (PBE, relaxed)
# * ΔE_f (raw): 2.007 eV per atom
data_MgPbWN2
_cell_length_a 4.028
_cell_length_b 4.028
_cell_length_c 5.220
_cell_angle_alpha 90.00
_cell_angle_beta 90.00
_cell_angle_gamma 90.00
_space_group_name_H-M_alt 'P 4/m m m'
_space_group_IT_number 123
_space_group_name_Hall '-P 4 2'
loop_
_atom_site_label
_atom_site_type_symbol
_atom_site_fract_x
_atom_site_fract_y
_atom_site_fract_z
_atom_site_occupancy
Mg1 Mg 0.000 0.000 0.000 1
Pb1 Pb 0.500 0.500 0.500 1
W1 W 0.000 0.000 0.500 1
N1 N 0.000 0.500 0.000 1

Entry 8:
# Mg2ZnPbN (PBE, relaxed)
# * ΔE_f (raw): -0.114 eV per atom
data_Mg2ZnPbN
_cell_length_a 4.272
_cell_length_b 4.272
_cell_length_c 4.722
_cell_angle_alpha 90.00
_cell_angle_beta 90.00
_cell_angle_gamma 90.00
_space_group_name_H-M_alt 'P 4/m m m'
_space_group_IT_number 123
_space_group_name_Hall '-P 4 2'
loop_
_atom_site_label
_atom_site_type_symbol
_atom_site_fract_x
_atom_site_fract_y
_atom_site_fract_z
_atom_site_occupancy
Mg1 Mg 0.000 0.500 0.000 1
Zn1 Zn 0.000 0.000 0.500 1
Pb1 Pb 0.500 0.500 0.500 1
N1 N 0.000 0.000 0.000 1

Entry 9:
# MgPd2N (PBE, relaxed)
# * ΔE_f (raw): 0.292 eV per atom
data_MgPd2N
_cell_length_a 4.973
_cell_length_b 4.973
_cell_length_c 12.058
_cell_angle_alpha 90.00
_cell_angle_beta 90.00
_cell_angle_gamma 90.00
_space_group_name_H-M_alt 'I -4 2 d'
_space_group_IT_number 122
_space_group_name_Hall 'I -4 2bw'
loop_
_atom_site_label
_atom_site_type_symbol
_atom_site_fract_x
_atom_site_fract_y
_atom_site_fract_z
_atom_site_occupancy
Mg1 Mg 0.000 0.000 0.000 1
Pd1 Pd 0.081 0.250 0.625 1
N1 N 0.000 0.000 0.500 1

Entry 10:
# MgPdN2 (PBE, relaxed)
# * ΔE_f (raw): 0.469 eV per atom
data_MgPdN2
_cell_length_a 4.600
_cell_length_b 4.600
_cell_length_c 10.016
_cell_angle_alpha 90.00
_cell_angle_beta 90.00
_cell_angle_gamma 90.00
_space_group_name_H-M_alt 'I -4 2 d'
_space_group_IT_number 122
_space_group_name_Hall 'I -4 2bw'
loop_
_atom_site_label
_atom_site_type_symbol
_atom_site_fract_x
_atom_site_fract_y
_atom_site_fract_z
_atom_site_occupancy
Mg1 Mg 0.000 0.000 0.000 1
Pd1 Pd 0.000 0.000 0.500 1
N1 N 0.233 0.250 0.625 1

Entry 11:
# MgPdN2 (PBE, relaxed)
# * ΔE_f (raw): 0.707 eV per atom
data_MgPdN2
_cell_length_a 3.0215
_cell_length_b 3.0215
_cell_length_c 19.0542
_cell_angle_alpha 90.00
_cell_angle_beta 90.00
_cell_angle_gamma 120.00
_space_group_name_H-M_alt 'R -3 m'
_space_group_IT_number 166
_space_group_name_Hall '-R 3 2"'
loop_
_atom_site_label
_atom_site_type_symbol
_atom_site_fract_x
_atom_site_fract_y
_atom_site_fract_z
_atom_site_occupancy
Mg1 Mg 0.0000 0.0000 0.0000 1
Pd1 Pd 0.0000 0.0000 0.5000 1
N1 N 0.0000 0.0000 0.4014 1

Entry 12:
# MgPd2N (PBE, relaxed)
# * ΔE_f (raw): 0.674 eV per atom
data_MgPd2N
_cell_length_a 6.027
_cell_length_b 6.027
_cell_length_c 6.027
_cell_angle_alpha 90.00
_cell_angle_beta 90.00
_cell_angle_gamma 90.00
_space_group_name_H-M_alt 'F m -3 m'
_space_group_IT_number 225
_space_group_name_Hall '-F 4 2 3'
loop_
_atom_site_label
_atom_site_type_symbol
_atom_site_fract_x
_atom_site_fract_y
_atom_site_fract_z
_atom_site_occupancy
Mg1 Mg 0.000 0.000 0.000 1
Pd1 Pd 0.250 0.250 0.250 1
N1 N 0.000 0.000 0.500 1

no.,magnetization (μB/f.u.)
1,1.78
2,2.52
3,1.39
4,0.00
5,1.19
6,2.49
7,1.65
8,0.00
9,0.00
10,0.00
11,0.41
12,0.00